[1]
Entry from Alexandria via LeMat-Bulk: an optimized crystal structure of Sm2TlBr (PBE-GGA).

The structure in POSCAR format:
```
Sm2TlBr
1.0
2.236 1.291 6.961
-2.236 1.291 6.961
0.000 -2.582 6.961
Sm Tl Br
2 1 1
direct
0.248 0.248 0.248
0.752 0.752 0.752
0.500 0.500 0.500
0.000 0.000 0.000
```

Values from the calculation:
Offset from the most stable computed form: 0.0 meV/atom
N(E_F): 0.5740 states/eV per atom
Symmetry: No. 166



[2]
Entry from Alexandria via LeMat-Bulk: an optimized crystal structure of SiNiCl3 (PBE-GGA).

The structure in POSCAR format:
```
SiNiCl3
1.0
4.623 0.000 0.000
0.000 4.623 0.000
0.000 0.000 4.623
Si Ni Cl
1 1 3
direct
0.000 0.000 0.000
0.500 0.500 0.500
0.000 0.500 0.500
0.500 0.000 0.500
0.500 0.500 0.000
```

Values from the calculation:
Offset from the most stable computed form: 0.0 meV/atom
N(E_F): 0.7085 states/eV per atom
Symmetry: No. 221



[3]
Entry from Alexandria via LeMat-Bulk: an optimized crystal structure of MgAlAu2 (PBE-GGA).

The structure in POSCAR format:
```
MgAlAu2
1.0
0.000 3.280 3.280
3.280 0.000 3.280
3.280 3.280 0.000
Mg Al Au
1 1 2
direct
0.000 0.000 0.000
0.250 0.250 0.250
0.500 0.500 0.500
0.750 0.750 0.750
```

Values from the calculation:
Energy of formation from the pure elements: -242 meV per atom
N(E_F): 0.6770 states/eV per atom
Symmetry: No. 216



Computed M_tot, in the same sequence as the records: 0.00 0.41 0.00 Bohr magnetons per cell.